Density functional theory data (PBE) for an optimized crystal structure of KZr2Re.

```
4
Lattice="-2.067 2.067 5.059 2.067 -2.067 5.059 2.067 2.067 -5.059" Properties=species:S:1:pos:R:3 pbc="T T T"
K 0.000 0.000 0.000
Zr 0.000 0.000 5.059
Zr 0.000 2.067 2.530
Re 2.067 0.000 2.530
```

Output
Fermi-level density of states = 3.3 states/eV/f.u.
energy of formation from the pure elements = 1.1343 eV/atom
energy relative to the lowest polymorph listed for this composition = 939 meV/atom
electronic total energy = -26.10 eV/cell
crystal system = tetragonal
volume = 21.62 A^3/atom